The following is a PBE with a Hubbard U calculation of a relaxed structure of LiVF6, from Alexandria.

Computed properties:
Its total energy is -5.211 eV per atom. The total magnetic moment comes out at 0.00 μB/f.u. For the calculated volume, the calculation gives 206 Å³/cell.

Lattice parameters (Å, degrees): 5.060 5.060 9.277 90.00 90.00 120.00
Atoms (fractional coordinates):
1 F 0.733 0.045 0.887
2 F 0.045 0.733 0.387
3 F 0.267 0.313 0.387
4 Li 0.667 0.333 0.750
5 F 0.313 0.267 0.887
6 F 0.267 0.955 0.113
7 Li 0.333 0.667 0.250
8 F 0.955 0.267 0.613
9 F 0.687 0.733 0.113
10 F 0.733 0.687 0.613
11 F 0.313 0.045 0.613
12 F 0.687 0.955 0.387
13 F 0.045 0.313 0.113
14 F 0.955 0.687 0.887
15 V 0.000 0.000 0.000
16 V 0.000 0.000 0.500